VASP calculation (GGA-PBE) on a relaxed Pu3Pd2Au3 crystal.

Computed properties:
* E above lowest polymorph: 8.4 meV/atom
* space-group type: No. 62

Unit cell a=5.635 b=7.651 c=16.594 alpha=90.00 beta=90.00 gamma=90.00
Last column: magnetic moment on the atom in μB.
Fractional coordinates of all 32 atoms:
1 Pu 0.121 0.470 0.394  5.33
2 Pd 0.366 0.383 0.876  -0.07
3 Pd 0.634 0.617 0.124  -0.07
4 Pu 0.121 0.470 0.106  5.33
5 Pu 0.379 0.970 0.106  5.33
6 Pu 0.379 0.970 0.394  5.33
7 Au 0.081 0.182 0.528  0.01
8 Pu 0.349 0.657 0.750  5.25
9 Pu 0.879 0.530 0.606  5.33
10 Pd 0.134 0.883 0.624  -0.07
11 Au 0.328 0.692 0.250  0.02
12 Pu 0.651 0.343 0.250  5.25
13 Pd 0.866 0.117 0.124  -0.07
14 Au 0.172 0.192 0.250  0.02
15 Au 0.828 0.808 0.750  0.02
16 Pu 0.621 0.030 0.894  5.33
17 Pd 0.866 0.117 0.376  -0.07
18 Au 0.581 0.318 0.472  0.01
19 Au 0.419 0.682 0.972  0.01
20 Pu 0.879 0.530 0.894  5.33
21 Pd 0.134 0.883 0.876  -0.07
22 Pu 0.151 0.157 0.750  5.25
23 Au 0.672 0.308 0.750  0.02
24 Pd 0.634 0.617 0.376  -0.07
25 Au 0.081 0.182 0.972  0.01
26 Au 0.919 0.818 0.472  0.01
27 Pu 0.849 0.843 0.250  5.25
28 Pd 0.366 0.383 0.624  -0.07
29 Au 0.419 0.682 0.528  0.01
30 Au 0.919 0.818 0.028  0.01
31 Au 0.581 0.318 0.028  0.01
32 Pu 0.621 0.030 0.606  5.33

VASP calculation (GGA-PBE) on a relaxed BaInSn2 crystal.

Computed properties:
* total energy: -3.49 eV/atom
* space-group type: No. 123

Unit cell a=4.137 b=4.137 c=7.491 alpha=90.00 beta=90.00 gamma=90.00
Fractional coordinates of all 4 atoms:
1 Sn 0.000 0.000 0.805
2 Ba 0.500 0.500 0.500
3 Sn 0.000 0.000 0.195
4 In 0.500 0.500 0.000

VASP calculation (GGA-PBE) on a relaxed ZnReIr2I crystal.

Computed properties:
* space-group type: No. 123
* energy relative to the elements, uncorrected: 2.314 eV per atom

Unit cell a=4.828 b=4.852 c=4.828 alpha=90.00 beta=90.00 gamma=90.00
Fractional coordinates of all 5 atoms:
1 Zn 0.500 0.500 0.500
2 I 0.000 0.000 0.000
3 Re 0.000 0.500 0.000
4 Ir 0.000 0.000 0.500
5 Ir 0.500 0.000 0.000

VASP calculation (GGA-PBE) on a relaxed LaSc4Ga5 crystal.

Computed properties:
* total energy: -5.12 eV/atom
* space-group type: No. 123

Unit cell a=3.441 b=3.441 c=17.169 alpha=90.00 beta=90.00 gamma=90.00
Fractional coordinates of all 10 atoms:
1 Ga 0.500 0.500 0.311
2 Ga 0.500 0.500 0.500
3 Sc 0.000 0.000 0.594
4 La 0.000 0.000 0.000
5 Ga 0.500 0.500 0.876
6 Sc 0.000 0.000 0.216
7 Ga 0.500 0.500 0.689
8 Ga 0.500 0.500 0.124
9 Sc 0.000 0.000 0.784
10 Sc 0.000 0.000 0.406